[1]
The following is a DFT calculation (PBE-GGA) of SiNi2Ru after structural relaxation.

The calculation puts the final energy at -6.8248 eV/atom. As for the formation energy without anion corrections: -0.2594 eV/atom.

It has space group Amm2 (No. 38), with a = 3.7324 Å, b = 2.7221 Å, c = 9.4677 Å, α = 90.00°, β = 90.00° and γ = 90.00°. The inequivalent atoms are Si at (0.0000, 0.0000, 0.0000), Ni at (0.0000, 0.0000, 0.7418), Ni at (0.5000, 0.0000, 0.1398) and Ru at (0.5000, 0.0000, 0.4024).

---

[2]
The following is a DFT calculation (PBE-GGA) of Mn2RuRh2 after structural relaxation.

The calculation puts the final energy at -8.2572 eV/atom.

It has space group P4/mbm (No. 127), with a = 6.9802 Å, b = 6.9802 Å, c = 2.6898 Å, α = 90.00°, β = 90.00° and γ = 90.00°. The inequivalent atoms are Mn at (0.1159, 0.3841, 0.0000), Ru at (0.0000, 0.0000, 0.0000) and Rh at (0.1780, 0.6780, 0.5000).

---

[3]
The following is a DFT calculation (PBE-GGA) of Si2PbAu after structural relaxation.

The calculation puts the final energy at -3.9208 eV/atom. As for the formation energy without anion corrections: 0.5372 eV/atom.

It has space group Cmmm (No. 65), with a = 6.0340 Å, b = 7.0123 Å, c = 3.9085 Å, α = 90.00°, β = 90.00° and γ = 90.00°. The inequivalent atoms are Si at (0.2500, 0.2500, 0.0000), Pb at (0.0000, 0.0000, 0.5000) and Au at (0.0000, 0.5000, 0.5000).

---

[4]
The following is a DFT calculation (PBE-GGA) of Pa3SbH after structural relaxation.

The calculation puts the final energy at -7.5416 eV/atom.

It has space group Pm-3m (No. 221), with a = 4.6612 Å, b = 4.6612 Å, c = 4.6612 Å, α = 90.00°, β = 90.00° and γ = 90.00°. The inequivalent atoms are Pa at (0.0000, 0.0000, 0.5000), Sb at (0.5000, 0.5000, 0.5000) and H at (0.0000, 0.0000, 0.0000).